# 1
TaV2Ge2 | GGA-PBE | relaxed

Cell and atoms, written as POSCAR:
```
TaV2Ge2
1.0
3.657 -2.114 0.000
3.657 2.114 0.000
-2.430 0.000 4.947
Ta V Ge
1 2 2
direct
0.000 0.000 0.000
0.181 0.181 0.545
0.819 0.819 0.455
0.414 0.414 0.241
0.586 0.586 0.759
```

**Energy**: -39.93 eV/f.u.
**ΔH_f (0 K)**: -0.12 eV per atom
**ΔE to the lowest computed polymorph**: 128 meV/atom

---

# 2
TaV6Ge4 | GGA-PBE | relaxed

Cell and atoms, written as POSCAR:
```
TaV6Ge4
1.0
-3.240 3.240 4.393
3.240 -3.240 4.393
3.240 3.240 -4.393
Ta V Ge
1 6 4
direct
0.000 0.000 0.000
0.000 0.500 0.500
0.217 0.217 0.732
0.485 0.485 0.268
0.500 0.000 0.500
0.515 0.783 0.000
0.783 0.515 0.000
0.154 0.624 0.000
0.376 0.376 0.530
0.624 0.154 0.000
0.846 0.846 0.470
```

**Energy**: -83.09 eV/f.u.
**ΔH_f (0 K)**: 0.18 eV per atom

---

# 3
TaV4Ge | GGA-PBE | relaxed

Cell and atoms, written as POSCAR:
```
TaV4Ge
1.0
4.382 -1.323 0.000
4.382 1.323 0.000
-3.782 0.000 7.817
Ta V Ge
1 4 1
direct
0.000 0.000 0.000
0.160 0.160 0.344
0.339 0.339 0.168
0.661 0.661 0.832
0.840 0.840 0.656
0.500 0.500 0.500
```

**Energy**: -51.75 eV/f.u.
**ΔH_f (0 K)**: 0.20 eV per atom
**ΔE to the lowest computed polymorph**: 136 meV/atom

---

# 4
TaV4Ge | GGA-PBE | relaxed

Cell and atoms, written as POSCAR:
```
TaV4Ge
1.0
0.000 3.521 3.521
3.521 0.000 3.521
3.521 3.521 0.000
Ta V Ge
1 4 1
direct
0.000 0.000 0.000
0.374 0.374 0.374
0.374 0.374 0.879
0.374 0.879 0.374
0.879 0.374 0.374
0.750 0.750 0.750
```

**Energy**: -52.56 eV/f.u.
**ΔH_f (0 K)**: 0.06 eV per atom
**ΔE to the lowest computed polymorph**: 0 meV/atom

---

# 5
TaV2Ge2 | GGA-PBE | relaxed

Cell and atoms, written as POSCAR:
```
TaV2Ge2
1.0
6.804 0.000 0.000
0.000 6.804 0.000
0.000 0.000 3.249
Ta V Ge
2 4 4
direct
0.000 0.000 0.000
0.500 0.500 0.000
0.162 0.338 0.500
0.338 0.838 0.500
0.662 0.162 0.500
0.838 0.662 0.500
0.135 0.635 0.000
0.365 0.135 0.000
0.635 0.865 0.000
0.865 0.365 0.000
```

**Energy**: -40.57 eV/f.u.
**ΔH_f (0 K)**: -0.25 eV per atom
**ΔE to the lowest computed polymorph**: 0 meV/atom

---

# 6
Ta3V2Ge4 | GGA-PBE | relaxed

Cell and atoms, written as POSCAR:
```
Ta3V2Ge4
1.0
6.393 -1.740 0.000
6.393 1.740 0.000
-6.067 0.000 6.445
Ta V Ge
3 2 4
direct
0.000 0.000 0.000
0.342 0.342 0.318
0.658 0.658 0.682
0.321 0.321 0.661
0.679 0.679 0.339
0.032 0.032 0.357
0.342 0.342 0.002
0.658 0.658 0.998
0.968 0.968 0.643
```

**Energy**: -73.89 eV/f.u.
**ΔH_f (0 K)**: -0.18 eV per atom

---

# 7
TaV3Ge2 | GGA-PBE | relaxed

Cell and atoms, written as POSCAR:
```
TaV3Ge2
1.0
7.625 -1.671 0.000
7.625 1.671 0.000
-3.035 0.000 7.078
Ta V Ge
2 6 4
direct
0.117 0.117 0.129
0.883 0.883 0.871
0.054 0.054 0.645
0.312 0.312 0.094
0.363 0.363 0.540
0.637 0.637 0.460
0.688 0.688 0.906
0.946 0.946 0.355
0.238 0.238 0.710
0.487 0.487 0.160
0.513 0.513 0.840
0.762 0.762 0.290
```

**Energy**: -49.66 eV/f.u.
**ΔH_f (0 K)**: -0.20 eV per atom

---

# 8
Ta2V3Ge2 | GGA-PBE | relaxed

Cell and atoms, written as POSCAR:
```
Ta2V3Ge2
1.0
4.897 -1.704 0.000
4.897 1.704 0.000
-2.201 0.000 6.480
Ta V Ge
2 3 2
direct
0.098 0.098 0.248
0.902 0.902 0.752
0.368 0.368 0.057
0.500 0.500 0.500
0.632 0.632 0.943
0.177 0.177 0.696
0.823 0.823 0.304
```

**Energy**: -62.14 eV/f.u.
**ΔH_f (0 K)**: -0.26 eV per atom

---

# 9
Ta3V4Ge4 | GGA-PBE | relaxed

Cell and atoms, written as POSCAR:
```
Ta3V4Ge4
1.0
-1.704 3.809 6.637
1.704 -3.809 6.637
1.704 3.809 -6.637
Ta V Ge
3 4 4
direct
0.000 0.000 0.000
0.384 0.884 0.500
0.616 0.116 0.500
0.033 0.322 0.710
0.388 0.678 0.710
0.612 0.322 0.290
0.967 0.678 0.290
0.225 0.225 0.000
0.300 0.500 0.800
0.700 0.500 0.200
0.775 0.775 0.000
```

**Energy**: -92.86 eV/f.u.
**ΔH_f (0 K)**: -0.21 eV per atom

---

# 10
Ta4VGe3 | GGA-PBE | relaxed

Cell and atoms, written as POSCAR:
```
Ta4VGe3
1.0
-5.060 5.060 2.520
5.060 -5.060 2.520
5.060 5.060 -2.520
Ta V Ge
8 2 6
direct
0.078 0.777 0.854
0.223 0.078 0.301
0.277 0.578 0.854
0.422 0.277 0.699
0.578 0.723 0.301
0.723 0.422 0.146
0.777 0.922 0.699
0.922 0.223 0.146
0.250 0.750 0.500
0.750 0.250 0.500
0.160 0.340 0.500
0.250 0.250 0.000
0.340 0.840 0.181
0.660 0.160 0.819
0.750 0.750 0.000
0.840 0.660 0.500
```

**Energy**: -73.33 eV/f.u.
**ΔH_f (0 K)**: -0.37 eV per atom

---

# 11
Ta2VGe2 | GGA-PBE | relaxed

Cell and atoms, written as POSCAR:
```
Ta2VGe2
1.0
-1.736 1.736 7.206
1.736 -1.736 7.206
1.736 1.736 -7.206
Ta V Ge
2 1 2
direct
0.099 0.099 0.000
0.901 0.901 0.000
0.500 0.500 0.000
0.250 0.750 0.500
0.750 0.250 0.500
```

**Energy**: -40.81 eV/f.u.
**ΔH_f (0 K)**: 0.25 eV per atom
**ΔE to the lowest computed polymorph**: 500 meV/atom

---

# 12
Ta2VGe2 | GGA-PBE | relaxed

Cell and atoms, written as POSCAR:
```
Ta2VGe2
1.0
6.619 0.000 0.000
0.000 6.619 0.000
0.000 0.000 3.655
Ta V Ge
4 2 4
direct
0.167 0.333 0.000
0.333 0.833 0.000
0.667 0.167 0.000
0.833 0.667 0.000
0.000 0.000 0.500
0.500 0.500 0.500
0.137 0.637 0.500
0.363 0.137 0.500
0.637 0.863 0.500
0.863 0.363 0.500
```

**Energy**: -43.32 eV/f.u.
**ΔH_f (0 K)**: -0.25 eV per atom
**ΔE to the lowest computed polymorph**: 0 meV/atom

---

# 13
Ta2VGe2 | GGA-PBE | relaxed

Cell and atoms, written as POSCAR:
```
Ta2VGe2
1.0
1.784 -7.777 0.000
1.784 7.777 0.000
0.000 0.000 6.160
Ta V Ge
4 2 4
direct
0.023 0.977 0.500
0.185 0.815 0.899
0.815 0.185 0.399
0.977 0.023 0.000
0.399 0.601 0.696
0.601 0.399 0.196
0.189 0.811 0.378
0.429 0.571 0.284
0.571 0.429 0.784
0.811 0.189 0.878
```

**Energy**: -42.60 eV/f.u.
**ΔH_f (0 K)**: -0.11 eV per atom
**ΔE to the lowest computed polymorph**: 142 meV/atom

---

# 14
Ta2V3Ge | GGA-PBE | relaxed

Cell and atoms, written as POSCAR:
```
Ta2V3Ge
1.0
4.300 -2.491 0.000
4.300 2.491 0.000
-2.873 0.000 4.242
Ta V Ge
2 3 1
direct
0.125 0.125 0.375
0.875 0.875 0.625
0.000 0.500 0.000
0.500 0.000 0.000
0.500 0.500 0.000
0.500 0.500 0.500
```

**Energy**: -57.08 eV/f.u.
**ΔH_f (0 K)**: -0.23 eV per atom
**ΔE to the lowest computed polymorph**: 16 meV/atom

---

# 15
Ta5V5Ge6 | GGA-PBE | relaxed

Cell and atoms, written as POSCAR:
```
Ta5V5Ge6
1.0
5.036 0.000 0.000
0.000 6.463 3.771
0.000 -6.463 3.771
Ta V Ge
5 5 6
direct
0.000 0.000 0.000
0.000 0.227 0.447
0.000 0.447 0.227
0.500 0.223 0.971
0.500 0.971 0.223
0.254 0.560 0.896
0.254 0.896 0.560
0.500 0.488 0.488
0.746 0.560 0.896
0.746 0.896 0.560
0.000 0.227 0.817
0.000 0.634 0.634
0.000 0.817 0.227
0.500 0.233 0.616
0.500 0.616 0.233
0.500 0.824 0.824
```

**Energy**: -138.65 eV/f.u.
**ΔH_f (0 K)**: -0.38 eV per atom

---

# 16
Ta2V4Ge | GGA-PBE | relaxed

Cell and atoms, written as POSCAR:
```
Ta2V4Ge
1.0
-2.219 2.219 6.397
2.219 -2.219 6.397
2.219 2.219 -6.397
Ta V Ge
2 4 1
direct
0.122 0.122 0.000
0.878 0.878 0.000
0.000 0.500 0.500
0.312 0.312 0.000
0.500 0.000 0.500
0.688 0.688 0.000
0.500 0.500 0.000
```

**Energy**: -57.85 eV/f.u.
**ΔH_f (0 K)**: 0.99 eV per atom

---

# 17
TaGeW | GGA-PBE | relaxed

Cell and atoms, written as POSCAR:
```
TaGeW
1.0
1.874 1.082 9.289
-1.874 1.082 9.289
0.000 -2.164 9.289
Ta Ge W
2 2 2
direct
0.132 0.132 0.132
0.868 0.868 0.868
0.410 0.410 0.410
0.590 0.590 0.590
0.308 0.308 0.308
0.692 0.692 0.692
```

**Energy**: -27.81 eV/f.u.
**ΔH_f (0 K)**: 0.54 eV per atom
**ΔE to the lowest computed polymorph**: 439 meV/atom

---

# 18
TaGeW2 | GGA-PBE | relaxed

Cell and atoms, written as POSCAR:
```
TaGeW2
1.0
-3.761 3.761 2.559
3.761 -3.761 2.559
3.761 3.761 -2.559
Ta Ge W
2 2 4
direct
0.000 0.000 0.000
0.750 0.250 0.500
0.250 0.750 0.500
0.500 0.500 0.000
0.175 0.625 0.050
0.375 0.425 0.550
0.575 0.125 0.950
0.875 0.825 0.450
```

**Energy**: -38.77 eV/f.u.
**ΔH_f (0 K)**: 0.90 eV per atom

---

# 19
TaGe2W | GGA-PBE | relaxed

Cell and atoms, written as POSCAR:
```
TaGe2W
1.0
1.447 0.836 9.762
-1.447 0.836 9.762
0.000 -1.671 9.762
Ta Ge W
1 2 1
direct
0.000 0.000 0.000
0.410 0.410 0.410
0.590 0.590 0.590
0.500 0.500 0.500
```

**Energy**: -32.52 eV/f.u.
**ΔH_f (0 K)**: 0.38 eV per atom
**ΔE to the lowest computed polymorph**: 191 meV/atom

---

# 20
Ta6GeW5 | GGA-PBE | relaxed

Cell and atoms, written as POSCAR:
```
Ta6GeW5
1.0
-2.291 3.248 6.884
2.291 -3.248 6.884
2.291 3.248 -6.884
Ta Ge W
6 1 5
direct
0.080 0.332 0.748
0.243 0.000 0.243
0.416 0.668 0.748
0.584 0.332 0.252
0.757 0.000 0.757
0.920 0.668 0.252
0.500 0.500 0.000
0.000 0.500 0.500
0.168 0.168 0.000
0.337 0.837 0.500
0.663 0.163 0.500
0.832 0.832 0.000
```

**Energy**: -141.58 eV/f.u.
**ΔH_f (0 K)**: -0.09 eV per atom

---

# 21
TaGe2W | GGA-PBE | relaxed

Cell and atoms, written as POSCAR:
```
TaGe2W
1.0
-2.696 2.696 6.494
2.696 -2.696 6.494
2.696 2.696 -6.494
Ta Ge W
2 4 2
direct
0.000 0.000 0.000
0.750 0.250 0.500
0.141 0.625 0.016
0.375 0.391 0.516
0.609 0.125 0.984
0.875 0.859 0.484
0.250 0.750 0.500
0.500 0.500 0.000
```

**Energy**: -28.82 eV/f.u.
**ΔH_f (0 K)**: 1.30 eV per atom
**ΔE to the lowest computed polymorph**: 1115 meV/atom

---

# 22
TaGe3W | GGA-PBE | relaxed

Cell and atoms, written as POSCAR:
```
TaGe3W
1.0
4.818 0.000 0.000
0.000 4.818 0.000
0.000 0.000 4.818
Ta Ge W
1 3 1
direct
0.000 0.000 0.000
0.000 0.500 0.500
0.500 0.000 0.500
0.500 0.500 0.000
0.500 0.500 0.500
```

**Energy**: -32.13 eV/f.u.
**ΔH_f (0 K)**: 1.31 eV per atom
**ΔE to the lowest computed polymorph**: 0 meV/atom

---

# 23
TaGeW3 | GGA-PBE | relaxed

Cell and atoms, written as POSCAR:
```
TaGeW3
1.0
4.567 0.000 0.000
0.000 4.567 0.000
0.000 0.000 4.567
Ta Ge W
1 1 3
direct
0.000 0.000 0.000
0.500 0.500 0.500
0.000 0.500 0.500
0.500 0.000 0.500
0.500 0.500 0.000
```

**Energy**: -47.75 eV/f.u.
**ΔH_f (0 K)**: 1.52 eV per atom
**ΔE to the lowest computed polymorph**: 0 meV/atom

---

# 24
TaGeW3 | GGA-PBE | relaxed

Cell and atoms, written as POSCAR:
```
TaGeW3
1.0
4.826 0.000 0.000
0.000 4.826 0.000
0.000 0.000 4.826
Ta Ge W
1 1 3
direct
0.000 0.000 0.000
0.500 0.500 0.500
0.000 0.000 0.500
0.000 0.500 0.000
0.500 0.000 0.000
```

**Energy**: -43.53 eV/f.u.
**ΔH_f (0 K)**: 2.36 eV per atom
**ΔE to the lowest computed polymorph**: 844 meV/atom